A relaxed structure of Hf4MgInN2. Source: the Open Quantum Materials Database, functional PBE.

Unit cell a=3.2391 b=3.2391 c=14.9787 alpha=90.00 beta=90.00 gamma=120.00
Space group P-6m2 (No. 187)
Unique sites:
Hf (0.0000, 0.0000, 0.1643) [2 per cell]
Hf (0.6667, 0.3333, 0.3294) [2 per cell]
Mg (0.0000, 0.0000, 0.5000) [1 per cell]
In (0.6667, 0.3333, 0.0000) [1 per cell]
N (0.3333, 0.6667, 0.2471) [2 per cell]

Raw total energy, hartree per atom: -0.314
Total magnetization, μB/f.u.: 0.003
Volume, Å³/cell: 136